Record 1
A relaxed Pm4Ag2Os crystal. Source: the Alexandria database, functional PBE.

The structure belongs to space group R-3m (No. 166, hexagonal axes); the cell edges are 5.1498, 5.1498 and 25.1111 Å and the angles 90.00°, 90.00° and 120.00°. Symmetry generates all atoms from Pm at (0.0000, 0.0000, 0.1185), Pm at (0.0000, 0.0000, 0.3701), Ag at (0.0000, 0.0000, 0.2457) and Os at (0.0000, 0.0000, 0.0000).

The density of states at the Fermi level is 6.8 states/eV/f.u. The calculation puts the energy above the most stable polymorph in this dataset at 0.000 eV/atom. The energy of formation is -0.0920 eV/atom.

***

Record 2
A relaxed Pm5AgOs2 crystal. Source: the Alexandria database, functional PBE.

The structure belongs to space group I4/mcm (No. 140); the cell edges are 7.967, 7.967 and 13.538 Å and the angles 90.00°, 90.00° and 90.00°. Symmetry generates all atoms from Pm at (0.000, 0.000, 0.000), Pm at (0.158, 0.342, 0.133), Ag at (0.000, 0.000, 0.250) and Os at (0.141, 0.359, 0.500).

The density of states at the Fermi level is 7.2 states/eV/f.u. The energy of formation is -0.1806 eV/atom.

***

Record 3
A relaxed Pm6AgOs crystal. Source: the Alexandria database, functional PBE.

The structure belongs to space group I4/mmm (No. 139); the cell edges are 5.112, 5.112 and 17.912 Å and the angles 90.00°, 90.00° and 90.00°. Symmetry generates all atoms from Pm at (0.000, 0.000, 0.249), Pm at (0.000, 0.500, 0.097), Ag at (0.000, 0.000, 0.500) and Os at (0.000, 0.000, 0.000).

The density of states at the Fermi level is 9.0 states/eV/f.u. The energy of formation is -0.0330 eV/atom.

***

Record 4
A relaxed Pm2AgOs crystal. Source: the Alexandria database, functional PBE.

The structure belongs to space group P4/mmm (No. 123); the cell edges are 3.486, 3.486 and 7.827 Å and the angles 90.00°, 90.00° and 90.00°. Symmetry generates all atoms from Pm at (0.000, 0.000, 0.221), Ag at (0.500, 0.500, 0.500) and Os at (0.500, 0.500, 0.000).

The density of states at the Fermi level is 2.3 states/eV/f.u. The calculation puts the energy above the most stable polymorph in this dataset at 0.000 eV/atom. The energy of formation is -0.1749 eV/atom.

***

Record 5
A relaxed Pm4Ag2Os crystal. Source: the Alexandria database, functional PBE.

The structure belongs to space group I4/mmm (No. 139); the cell edges are 5.498, 5.498 and 14.817 Å and the angles 90.00°, 90.00° and 90.00°. Symmetry generates all atoms from Pm at (0.000, 0.000, 0.186), Pm at (0.000, 0.500, 0.000), Ag at (0.000, 0.000, 0.389) and Os at (0.000, 0.000, 0.000).

The density of states at the Fermi level is 8.3 states/eV/f.u. The calculation puts the energy above the most stable polymorph in this dataset at 0.149 eV/atom. The energy of formation is 0.0570 eV/atom.

***

Record 6
A relaxed Pm4Ag3Os crystal. Source: the Alexandria database, functional PBE.

The structure belongs to space group P4/mmm (No. 123); the cell edges are 3.566, 3.566 and 15.530 Å and the angles 90.00°, 90.00° and 90.00°. Symmetry generates all atoms from Pm at (0.000, 0.000, 0.110), Pm at (0.000, 0.000, 0.372), Ag at (0.500, 0.500, 0.246), Ag at (0.500, 0.500, 0.500) and Os at (0.500, 0.500, 0.000).

The density of states at the Fermi level is 5.5 states/eV/f.u. The energy of formation is -0.2061 eV/atom.

***

Record 7
A relaxed PmPuAgOs crystal. Source: the Alexandria database, functional PBE.

The structure belongs to space group F-43m (No. 216); the cell edges are 7.096, 7.096 and 7.096 Å and the angles 90.00°, 90.00° and 90.00°. Symmetry generates all atoms from Pm at (0.000, 0.000, 0.000), Pu at (0.000, 0.000, 0.500), Ag at (0.250, 0.250, 0.250) and Os at (0.250, 0.250, 0.750).

The density of states at the Fermi level is 10.3 states/eV/f.u. The energy of formation is 0.0250 eV/atom.

***

Record 8
A relaxed PmScAgOs crystal. Source: the Alexandria database, functional PBE.

The structure belongs to space group F-43m (No. 216); the cell edges are 6.914, 6.914 and 6.914 Å and the angles 90.00°, 90.00° and 90.00°. Symmetry generates all atoms from Pm at (0.000, 0.000, 0.000), Sc at (0.000, 0.000, 0.500), Ag at (0.250, 0.250, 0.250) and Os at (0.250, 0.250, 0.750).

The density of states at the Fermi level is 2.9 states/eV/f.u. The energy of formation is -0.1853 eV/atom.

***

Record 9
A relaxed PmSmAgOs crystal. Source: the Alexandria database, functional PBE.

The structure belongs to space group F-43m (No. 216); the cell edges are 7.159, 7.159 and 7.159 Å and the angles 90.00°, 90.00° and 90.00°. Symmetry generates all atoms from Pm at (0.000, 0.000, 0.000), Sm at (0.000, 0.000, 0.500), Ag at (0.250, 0.250, 0.250) and Os at (0.250, 0.250, 0.750).

The density of states at the Fermi level is 2.6 states/eV/f.u. The energy of formation is -0.1489 eV/atom.

***

Record 10
A relaxed TbPmAgOs crystal. Source: the Alexandria database, functional PBE.

The structure belongs to space group F-43m (No. 216); the cell edges are 7.104, 7.104 and 7.104 Å and the angles 90.00°, 90.00° and 90.00°. Symmetry generates all atoms from Tb at (0.000, 0.000, 0.000), Pm at (0.000, 0.000, 0.500), Ag at (0.250, 0.250, 0.250) and Os at (0.250, 0.250, 0.750).

The density of states at the Fermi level is 2.9 states/eV/f.u. The energy of formation is -0.1880 eV/atom.

***

Record 11
A relaxed Pr6AgOs2 crystal. Source: the Alexandria database, functional PBE.

The structure belongs to space group Immm (No. 71); the cell edges are 9.869, 9.975 and 10.613 Å and the angles 90.00°, 90.00° and 90.00°. Symmetry generates all atoms from Pr at (0.000, 0.200, 0.240), Pr at (0.185, 0.500, 0.172), Pr at (0.224, 0.318, 0.500), Ag at (0.000, 0.000, 0.000), Ag at (0.000, 0.000, 0.500), Os at (0.000, 0.328, 0.000) and Os at (0.000, 0.500, 0.384).

The density of states at the Fermi level is 8.6 states/eV/f.u. The energy of formation is -0.0968 eV/atom.

***

Record 12
A relaxed Pr12Ag6Os crystal. Source: the Alexandria database, functional PBE.

The structure belongs to space group R-3 (No. 148, hexagonal axes); the cell edges are 12.2186, 12.2186 and 13.7226 Å and the angles 90.00°, 90.00° and 120.00°. Symmetry generates all atoms from Pr at (0.0356, 0.8423, 0.3728), Pr at (0.0457, 0.1962, 0.8908), Ag at (0.0002, 0.4022, 0.7607) and Os at (0.0000, 0.0000, 0.5000).

The density of states at the Fermi level is 19.7 states/eV/f.u. The energy of formation is -0.0569 eV/atom.

***

Record 13
A relaxed Pr8AgOs2 crystal. Source: the Alexandria database, functional PBE.

The structure belongs to space group Cm (No. 8); the cell edges are 8.879, 13.269 and 5.968 Å and the angles 90.00°, 105.02° and 90.00°. Symmetry generates all atoms from Pr at (0.000, 0.000, 0.000), Pr at (0.082, 0.370, 0.793), Pr at (0.181, 0.130, 0.618), Pr at (0.262, 0.500, 0.410), Pr at (0.382, 0.241, 0.205), Ag at (0.381, 0.000, 0.210) and Os at (0.381, 0.307, 0.704).

The density of states at the Fermi level is 14.1 states/eV/f.u. The energy of formation is -0.0004 eV/atom.

***

Record 14
A relaxed Pr5Ag2Os crystal. Source: the Alexandria database, functional PBE.

The structure belongs to space group Pbam (No. 55); the cell edges are 7.969, 12.179 and 4.823 Å and the angles 90.00°, 90.00° and 90.00°. Symmetry generates all atoms from Pr at (0.000, 0.000, 0.000), Pr at (0.149, 0.296, 0.000), Pr at (0.184, 0.573, 0.500), Ag at (0.076, 0.833, 0.500) and Os at (0.000, 0.500, 0.000).

The density of states at the Fermi level is 7.7 states/eV/f.u. The energy of formation is -0.1535 eV/atom.

***

Record 15
A relaxed Pr2AgOs crystal. Source: the Alexandria database, functional PBE.

The structure belongs to space group R-3m (No. 166, hexagonal axes); the cell edges are 4.2261, 4.2261 and 22.1916 Å and the angles 90.00°, 90.00° and 120.00°. Symmetry generates all atoms from Pr at (0.0000, 0.0000, 0.2355), Ag at (0.0000, 0.0000, 0.0000) and Os at (0.0000, 0.0000, 0.5000).

The density of states at the Fermi level is 2.2 states/eV/f.u. The energy of formation is 0.0866 eV/atom.

***

Record 16
A relaxed Pr6Ag5Os crystal. Source: the Alexandria database, functional PBE.

The structure belongs to space group Cmmm (No. 65); the cell edges are 5.279, 15.856 and 7.524 Å and the angles 90.00°, 90.00° and 90.00°. Symmetry generates all atoms from Pr at (0.000, 0.000, 0.231), Pr at (0.000, 0.344, 0.241), Ag at (0.000, 0.167, 0.500), Ag at (0.000, 0.180, 0.000), Ag at (0.000, 0.500, 0.500) and Os at (0.000, 0.500, 0.000).

The density of states at the Fermi level is 11.5 states/eV/f.u. The energy of formation is -0.2081 eV/atom.

***

Record 17
A relaxed Pr5Ag2Os2 crystal. Source: the Alexandria database, functional PBE.

The structure belongs to space group Cmce (No. 64); the cell edges are 16.077, 7.864 and 7.813 Å and the angles 90.00°, 90.00° and 90.00°. Symmetry generates all atoms from Pr at (0.000, 0.000, 0.000), Pr at (0.127, 0.185, 0.316), Ag at (0.218, 0.000, 0.000) and Os at (0.000, 0.114, 0.611).

The density of states at the Fermi level is 7.5 states/eV/f.u. The energy of formation is -0.1092 eV/atom.

***

Record 18
A relaxed Pr2AgOs crystal. Source: the Alexandria database, functional PBE.

The structure belongs to space group P4/mmm (No. 123); the cell edges are 3.530, 3.530 and 7.966 Å and the angles 90.00°, 90.00° and 90.00°. Symmetry generates all atoms from Pr at (0.000, 0.000, 0.221), Ag at (0.500, 0.500, 0.500) and Os at (0.500, 0.500, 0.000).

The density of states at the Fermi level is 2.6 states/eV/f.u. The energy of formation is -0.0971 eV/atom.

***

Record 19
A relaxed Pr7Ag2Os2 crystal. Source: the Alexandria database, functional PBE.

The structure belongs to space group Cmmm (No. 65); the cell edges are 8.281, 11.363 and 7.247 Å and the angles 90.00°, 90.00° and 90.00°. Symmetry generates all atoms from Pr at (0.000, 0.000, 0.000), Pr at (0.000, 0.500, 0.246), Pr at (0.250, 0.250, 0.255), Ag at (0.171, 0.000, 0.500) and Os at (0.000, 0.295, 0.000).

The density of states at the Fermi level is 9.2 states/eV/f.u. The energy of formation is -0.0370 eV/atom.

***

Record 20
A relaxed Pr6AgOs crystal. Source: the Alexandria database, functional PBE.

The structure belongs to space group C2/m (No. 12); the cell edges are 13.703, 10.383 and 10.621 Å and the angles 90.00°, 128.11° and 90.00°. Symmetry generates all atoms from Pr at (0.031, 0.179, 0.205), Pr at (0.121, 0.500, 0.434), Pr at (0.167, 0.173, 0.666), Pr at (0.238, 0.000, 0.142), Ag at (0.250, 0.250, 0.000) and Os at (0.250, 0.250, 0.500).

The density of states at the Fermi level is 10.1 states/eV/f.u. The energy of formation is 0.1681 eV/atom.